Entry 1:
DFT (PBE) results for a relaxed structure of Pm5NdSn3.

Cell lengths 6.7356, 9.5951, 9.5949 Å; angles 120.00, 90.00, 90.00 degrees
With the nearest neighbours (Å) after each atom.
Positions (direct):
Sn (0.2500, 0.0000, 0.3341)  5 Pm 3.19-3.37
Pm (0.7500, 0.3333, 0.0000)  5 Sn 3.19-3.37
Sn (0.7500, 0.3341, 0.3341)  5 Pm 3.19-3.37
Pm (0.2500, 0.3333, 0.3333)  5 Sn 3.19-3.37
Pm (0.2500, 0.6667, 0.0000)  5 Sn 3.19-3.37
Pm (0.0000, 0.6667, 0.3333)  8 Pm 3.37-3.61, 6 Sn 3.61
Pm (0.7500, 0.6667, 0.6667)  5 Sn 3.19-3.37
Sn (0.7500, 0.6659, 0.0000)  5 Pm 3.19-3.37
Pm (0.7500, 0.0000, 0.3333)  5 Sn 3.19-3.37
Pm (0.2500, 0.0000, 0.6667)  5 Sn 3.19-3.37
Nd (0.0000, 0.0000, 0.0000)  2 Nd 3.37, 6 Pm 3.61, 6 Sn 3.62
Pm (0.0000, 0.3333, 0.6667)  8 Pm 3.37-3.61, 6 Sn 3.61
Sn (0.2500, 0.3341, 0.0000)  5 Pm 3.19-3.37
Sn (0.7500, 0.0000, 0.6659)  5 Pm 3.19-3.37
Sn (0.2500, 0.6659, 0.6659)  5 Pm 3.19-3.37
Nd (0.5000, 0.0000, 0.0000)  2 Nd 3.37, 6 Pm 3.61, 6 Sn 3.62
Pm (0.5000, 0.6667, 0.3333)  8 Pm 3.37-3.61, 6 Sn 3.61
Pm (0.5000, 0.3333, 0.6667)  8 Pm 3.37-3.61, 6 Sn 3.61

Output
- DFT total energy: -0.374 Ry/atom
- Energy of formation from the pure elements: -0.58 eV/atom
- Crystal system: hexagonal
- SG: No. 193
- Spin magnetization: 5.1 μB/cell



Entry 2:
DFT (PBE) results for a relaxed structure of PmNd8Sn2.

Cell lengths 6.0430, 8.8616, 8.8616 Å; angles 118.88, 103.20, 103.20 degrees
With the nearest neighbours (Å) after each atom.
Positions (direct):
Nd (0.5000, 0.2254, 0.7746)  2 Sn 3.26, 1 Pm 3.44, 2 Nd 3.59
Nd (0.8902, 0.9100, 0.6798)  2 Sn 3.25-3.34, 4 Nd 3.32-3.61
Nd (0.1098, 0.3202, 0.0900)  2 Sn 3.25-3.34, 4 Nd 3.32-3.61
Pm (0.5000, 0.0000, 0.0000)  4 Nd 3.30-3.44
Sn (0.0000, 0.6950, 0.3050)  8 Nd 3.25-3.38
Nd (0.1098, 0.0900, 0.3202)  2 Sn 3.25-3.34, 4 Nd 3.32-3.61
Nd (0.7042, 0.4064, 0.4064)  2 Nd 3.20-3.56, 1 Pm 3.30, 2 Sn 3.38
Nd (0.8902, 0.6798, 0.9100)  2 Sn 3.25-3.34, 4 Nd 3.32-3.61
Sn (0.0000, 0.3050, 0.6950)  8 Nd 3.25-3.38
Nd (0.2958, 0.5936, 0.5936)  2 Nd 3.20-3.56, 1 Pm 3.30, 2 Sn 3.38
Nd (0.5000, 0.7746, 0.2254)  2 Sn 3.26, 1 Pm 3.44, 2 Nd 3.59

Output
- DFT total energy: -0.353 Ry/atom
- Energy of formation from the pure elements: -0.18 eV/atom
- Crystal system: monoclinic
- SG: No. 12
- Spin magnetization: 0.0 μB/cell



Entry 3:
DFT (PBE) results for a relaxed structure of PmNdSn2.

Cell lengths 4.5579, 4.9824, 4.9824 Å; angles 90.00, 90.00, 90.00 degrees
With the nearest neighbours (Å) after each atom.
Positions (direct):
Nd (0.5000, 0.0000, 0.0000)  8 Sn 3.38, 4 Pm 3.52
Sn (0.0000, 0.5000, 0.0000)  4 Nd 3.38, 4 Pm 3.38, 4 Sn 3.52
Pm (0.5000, 0.5000, 0.5000)  8 Sn 3.38, 4 Nd 3.52
Sn (0.0000, 0.0000, 0.5000)  4 Pm 3.38, 4 Nd 3.38, 4 Sn 3.52

Output
- DFT total energy: -0.371 Ry/atom
- Energy of formation from the pure elements: -0.67 eV/atom
- Crystal system: tetragonal
- SG: No. 123
- Spin magnetization: 0.0 μB/cell



Entry 4:
DFT (PBE) results for a relaxed structure of Pm2Nd8Sn.

Cell lengths 5.0395, 8.1518, 9.6284 Å; angles 104.64, 105.17, 90.00 degrees
With the nearest neighbours (Å) after each atom.
Positions (direct):
Nd (0.3239, 0.0917, 0.6477)  8 Nd 3.54-3.75, 1 Sn 3.54, 3 Pm 3.63-3.71
Nd (0.0425, 0.7337, 0.0851)  9 Nd 3.53-3.74, 2 Sn 3.55, 1 Pm 3.66
Nd (0.9575, 0.2663, 0.9149)  9 Nd 3.53-3.74, 2 Sn 3.55, 1 Pm 3.66
Nd (0.6761, 0.9083, 0.3523)  8 Nd 3.54-3.75, 1 Sn 3.54, 3 Pm 3.63-3.71
Pm (0.7765, 0.3660, 0.5530)  10 Nd 3.61-3.71, 2 Pm 3.64
Nd (0.1363, 0.1772, 0.2726)  7 Nd 3.54-3.73, 2 Sn 3.60, 3 Pm 3.65-3.66
Nd (0.8637, 0.8228, 0.7274)  7 Nd 3.54-3.73, 2 Sn 3.60, 3 Pm 3.65-3.66
Nd (0.5890, 0.4378, 0.1780)  1 Sn 3.52, 8 Nd 3.53-3.75, 3 Pm 3.61-3.68
Pm (0.2235, 0.6340, 0.4470)  10 Nd 3.61-3.71, 2 Pm 3.64
Nd (0.4110, 0.5622, 0.8220)  1 Sn 3.52, 8 Nd 3.53-3.75, 3 Pm 3.61-3.68
Sn (0.5000, 0.0000, 0.0000)  12 Nd 3.52-3.60

Output
- DFT total energy: -0.354 Ry/atom
- Energy of formation from the pure elements: -0.12 eV/atom
- Crystal system: monoclinic
- SG: No. 12
- Spin magnetization: 0.0 μB/cell



Entry 5:
DFT (PBE) results for a relaxed structure of Pm6Nd8Sn.

Cell lengths 6.7146, 9.4370, 9.4369 Å; angles 120.00, 90.00, 90.00 degrees
With the nearest neighbours (Å) after each atom.
Positions (direct):
Nd (0.8204, 0.2281, 0.9599)  1 Sn 3.20, 2 Pm 3.36-3.57, 3 Nd 3.38-3.39
Nd (0.8710, 0.3333, 0.6667)  3 Nd 3.39
Nd (0.1290, 0.6667, 0.3333)  3 Nd 3.39
Pm (0.3354, 0.3502, 0.9077)  1 Pm 3.32, 4 Nd 3.36-3.68
Pm (0.6646, 0.6498, 0.0923)  1 Pm 3.32, 4 Nd 3.36-3.68
Pm (0.6646, 0.9077, 0.5575)  1 Pm 3.32, 4 Nd 3.36-3.68
Nd (0.8204, 0.0401, 0.2681)  1 Sn 3.20, 2 Pm 3.36-3.57, 3 Nd 3.38-3.39
Nd (0.1796, 0.9599, 0.7318)  1 Sn 3.20, 2 Pm 3.36-3.57, 3 Nd 3.38-3.39
Sn (0.5000, 0.0000, 0.0000)  6 Nd 3.20
Nd (0.1796, 0.7719, 0.0401)  1 Sn 3.20, 2 Pm 3.36-3.57, 3 Nd 3.38-3.39
Nd (0.1796, 0.2682, 0.2281)  1 Sn 3.20, 2 Pm 3.36-3.57, 3 Nd 3.38-3.39
Pm (0.3354, 0.5575, 0.6498)  1 Pm 3.32, 4 Nd 3.36-3.68
Pm (0.3354, 0.0923, 0.4425)  1 Pm 3.32, 4 Nd 3.36-3.68
Pm (0.6646, 0.4425, 0.3502)  1 Pm 3.32, 4 Nd 3.36-3.68
Nd (0.8204, 0.7318, 0.7719)  1 Sn 3.20, 2 Pm 3.36-3.57, 3 Nd 3.38-3.39

Output
- DFT total energy: -0.345 Ry/atom
- Energy of formation from the pure elements: 0.02 eV/atom
- Crystal system: trigonal
- SG: No. 147
- Spin magnetization: 0.0 μB/cell



Entry 6:
DFT (PBE) results for a relaxed structure of Pm2Nd3Sn.

Cell lengths 4.9898, 4.9433, 8.1735 Å; angles 107.60, 90.00, 90.00 degrees
With the nearest neighbours (Å) after each atom.
Positions (direct):
Sn (0.0000, 0.0000, 0.0000)  8 Nd 3.51-3.56, 4 Pm 3.51
Pm (0.0000, 0.3397, 0.6794)  8 Nd 3.51-3.72, 2 Sn 3.51, 2 Pm 3.73
Nd (0.5000, 0.1626, 0.3252)  6 Pm 3.51-3.72, 4 Nd 3.54-3.68, 2 Sn 3.56
Nd (0.5000, 0.8374, 0.6748)  6 Pm 3.51-3.72, 4 Nd 3.54-3.68, 2 Sn 3.56
Pm (0.0000, 0.6603, 0.3206)  8 Nd 3.51-3.72, 2 Sn 3.51, 2 Pm 3.73
Nd (0.5000, 0.5000, 0.0000)  4 Sn 3.51, 4 Pm 3.53, 4 Nd 3.54

Output
- DFT total energy: -0.360 Ry/atom
- Distance to the lowest polymorph of the same formula: 0 meV/atom
- Energy of formation from the pure elements: -0.26 eV/atom
- Crystal system: orthorhombic
- SG: No. 65
- Spin magnetization: 0.0 μB/cell